(1)
Al2TlOs after structural relaxation, computed with PBE-GGA.

abc: 4.6105 4.6105 3.1462
angles: 90.00 90.00 90.00
Atoms (fractional coordinates):
1 Al 0.0000 0.5000 0.0000
2 Al 0.5000 0.0000 0.0000
3 Tl 0.0000 0.0000 0.5000
4 Os 0.5000 0.5000 0.5000

Summary:
Space-group type: No. 123
Offset from the most stable computed form: 440 meV per atom
DFT formation energy: 0.356 eV/atom

***

(2)
YZnB after structural relaxation, computed with PBE-GGA.

abc: 4.4498 7.6269 7.6269
angles: 24.61 90.00 90.00
Atoms (fractional coordinates):
1 Y 0.0000 0.0000 0.0000
2 Y 0.5000 0.2827 0.2827
3 Zn 0.0000 0.6827 0.6827
4 Zn 0.5000 0.6003 0.6003
5 B 0.5000 0.4544 0.4544
6 B 0.5000 0.9160 0.9160

Summary:
Space-group type: No. 38
Offset from the most stable computed form: 106 meV per atom
DFT formation energy: -0.267 eV/atom